{"formula": "TeRh", "functional": "PBE-GGA", "state": "optimized geometry", "magmom_total_mub_per_fu": 0.0, "raw_formation_energy_mev_per_atom": -5, "dos_at_fermi_per_ev_atom": 0.79, "sg": "Pm-3m (221)", "cell": [[3.3539, 0.0000, 0.0000], [0.0000, 3.3539, 0.0000], [0.0000, 0.0000, 3.3539]], "species": ["Te", "Rh"], "frac_coords": [[0.0000, 0.0000, 0.0000], [0.5000, 0.5000, 0.5000]]}